(1)
First-principles (PBE) data for a relaxed BaPd3Rh4O12 crystal, as listed in Alexandria.

- energy relative to the elements, uncorrected (eV per formula unit) = -16.1
- electronic total energy (eV/atom) = -6.13
- space group = Im-3

Lattice parameters (Å, degrees): 6.6792 6.6792 6.6792 109.47 109.47 109.47
Atoms (fractional coordinates):
O1 0.1800 0.4910 0.3111
O2 0.8689 0.6889 0.1800
O3 0.8200 0.1311 0.3111
O4 0.6889 0.8200 0.5090
O5 0.8200 0.5090 0.6889
O6 0.1800 0.8689 0.6889
O7 0.3111 0.8200 0.1311
O8 0.3111 0.1800 0.4910
O9 0.4910 0.3111 0.1800
O10 0.6889 0.1800 0.8689
O11 0.5090 0.6889 0.8200
O12 0.1311 0.3111 0.8200
Rh1 0.5000 0.5000 0.5000
Rh2 0.5000 0.0000 0.0000
Rh3 0.0000 0.5000 0.0000
Rh4 0.0000 0.0000 0.5000
Pd1 0.0000 0.5000 0.5000
Pd2 0.5000 0.0000 0.5000
Pd3 0.5000 0.5000 0.0000
Ba1 0.0000 0.0000 0.0000

(2)
First-principles (PBE) data for a relaxed Ba2PdRhO5 crystal, as listed in Alexandria.

- energy relative to the elements, uncorrected (eV per formula unit) = -12.6
- electronic total energy (eV/atom) = -5.98
- space group = Cmc2_1

Lattice parameters (Å, degrees): 3.4007 8.3446 10.2219 90.00 90.00 101.76
Site moments in Bohr magnetons follow the coordinates.
Atoms (fractional coordinates):
Ba1 0.8748 0.7495 0.2045  0.00
Ba2 0.1252 0.2505 0.7045  0.00
Ba3 0.1309 0.2618 0.3028  0.00
Ba4 0.8691 0.7382 0.8028  0.00
O1 0.5006 0.0012 0.7843  -0.02
O2 0.4994 0.9988 0.2843  -0.02
O3 0.3382 0.6765 0.0052  0.03
O4 0.6618 0.3235 0.5052  0.03
O5 0.7171 0.4342 0.1315  0.02
O6 0.2829 0.5658 0.6315  0.02
O7 0.7097 0.4194 0.8850  0.03
O8 0.0952 0.1905 0.0320  -0.01
O9 0.2903 0.5806 0.3850  0.03
O10 0.9048 0.8095 0.5320  -0.01
Pd1 0.4621 0.9242 0.4712  -0.06
Pd2 0.5379 0.0758 0.9712  -0.06
Rh1 0.2161 0.4322 0.0075  0.17
Rh2 0.7839 0.5678 0.5075  0.17

(3)
First-principles (PBE) data for a relaxed Ba2PdRhO4 crystal, as listed in Alexandria.

- energy relative to the elements, uncorrected (eV per formula unit) = -10.2
- electronic total energy (eV/atom) = -5.80
- space group = I-4

Lattice parameters (Å, degrees): 5.6366 5.6366 5.6366 105.91 111.28 111.28
Site moments in Bohr magnetons follow the coordinates.
Atoms (fractional coordinates):
Pd1 0.5000 0.2500 0.7500  0.71
O1 0.4272 0.8075 0.7109  0.21
O2 0.5728 0.2837 0.3803  0.21
O3 0.9034 0.6197 0.1925  0.21
O4 0.0966 0.2891 0.7163  0.21
Ba1 0.5000 0.7500 0.2500  0.00
Ba2 0.0000 0.0000 0.0000  0.00
Rh1 0.0000 0.5000 0.5000  0.98

(4)
First-principles (PBE) data for a relaxed BaPdRu2O8 crystal, as listed in Alexandria.

- energy relative to the elements, uncorrected (eV per formula unit) = -12.7
- electronic total energy (eV/atom) = -6.50
- space group = C2/m

Lattice parameters (Å, degrees): 5.1629 5.1629 7.1548 76.46 76.46 78.74
Atoms (fractional coordinates):
O1 0.6639 0.6639 0.4453
O2 0.2160 0.6986 0.2247
O3 0.3361 0.3361 0.5547
O4 0.7437 0.7437 0.0323
O5 0.3014 0.7840 0.7753
O6 0.6986 0.2160 0.2247
O7 0.2563 0.2563 0.9677
O8 0.7840 0.3014 0.7753
Pd1 0.0000 0.0000 0.0000
Ba1 0.0000 0.0000 0.5000
Ru1 0.4474 0.4474 0.7450
Ru2 0.5526 0.5526 0.2550

(5)
First-principles (PBE) data for a relaxed BaPdRuO6 crystal, as listed in Alexandria.

- energy relative to the elements, uncorrected (eV per formula unit) = -10.4
- electronic total energy (eV/atom) = -6.29
- space group = P312

Lattice parameters (Å, degrees): 5.3228 5.3228 5.7123 90.00 90.00 60.00
Site moments in Bohr magnetons follow the coordinates.
Atoms (fractional coordinates):
O1 0.0099 0.3793 0.3091  0.10
O2 0.3792 0.0100 0.6908  0.10
O3 0.6108 0.0099 0.3091  0.09
O4 0.6108 0.3793 0.6908  0.10
O5 0.3792 0.6108 0.3091  0.10
O6 0.0099 0.6108 0.6908  0.10
Pd1 0.6666 0.6667 0.5000  0.03
Ru1 0.3333 0.3333 0.5000  1.24
Ba1 0.0000 0.0000 0.0000  0.01

(6)
First-principles (PBE) data for a relaxed BaPdS2O8 crystal, as listed in Alexandria.

- energy relative to the elements, uncorrected (eV per formula unit) = -19.0
- electronic total energy (eV/atom) = -6.17
- space group = C2/m

Lattice parameters (Å, degrees): 5.9688 5.9688 8.3523 116.17 116.17 50.70
Atoms (fractional coordinates):
S1 0.4066 0.4066 0.7297
S2 0.5934 0.5934 0.2703
O1 0.2595 0.7399 0.1859
O2 0.6272 0.6272 0.4646
O3 0.7158 0.7158 0.2411
O4 0.7399 0.2595 0.1859
O5 0.2601 0.7405 0.8141
O6 0.2842 0.2842 0.7589
O7 0.3728 0.3728 0.5354
O8 0.7405 0.2601 0.8141
Ba1 0.0000 0.0000 0.5000
Pd1 0.0000 0.0000 0.0000

(7)
First-principles (PBE) data for a relaxed BaSb2PdO8 crystal, as listed in Alexandria.

- energy relative to the elements, uncorrected (eV per formula unit) = -13.4
- electronic total energy (eV/atom) = -5.70
- space group = P2/m

Lattice parameters (Å, degrees): 5.0792 5.0434 6.5926 89.97 89.98 85.59
Atoms (fractional coordinates):
O1 0.3467 0.2680 0.0000
O2 0.1768 0.7390 0.7929
O3 0.8232 0.2610 0.2071
O4 0.3826 0.2998 0.5001
O5 0.6533 0.7320 0.0000
O6 0.6174 0.7002 0.4999
O7 0.8236 0.2614 0.7928
O8 0.1764 0.7386 0.2072
Sb1 0.5000 0.5001 0.2417
Sb2 0.5000 0.4999 0.7583
Ba1 0.0000 0.0000 0.5000
Pd1 0.0000 0.0000 0.0000

(8)
First-principles (PBE) data for a relaxed Ba3ScPd2O6 crystal, as listed in Alexandria.

- energy relative to the elements, uncorrected (eV per formula unit) = -22.1
- electronic total energy (eV/atom) = -6.20
- space group = P-3m1

Lattice parameters (Å, degrees): 6.0040 6.0040 6.8199 90.00 90.00 120.00
Atoms (fractional coordinates):
Ba1 0.0000 0.0000 0.0000
Ba2 0.3333 0.6667 0.6408
Ba3 0.6667 0.3333 0.3592
Pd1 0.6667 0.3333 0.8453
Pd2 0.3333 0.6667 0.1547
O1 0.3243 0.1621 0.6842
O2 0.1621 0.8379 0.3158
O3 0.8379 0.6757 0.6842
O4 0.1621 0.3243 0.3158
O5 0.8379 0.1621 0.6842
O6 0.6757 0.8379 0.3158
Sc1 0.0000 0.0000 0.5000

(9)
First-principles (PBE) data for a relaxed Ba3ScPd2O9 crystal, as listed in Alexandria.

- energy relative to the elements, uncorrected (eV per formula unit) = -27.4
- electronic total energy (eV/atom) = -6.30
- space group = P-3m1

Lattice parameters (Å, degrees): 5.8155 5.8155 7.1499 90.00 90.00 120.00
Atoms (fractional coordinates):
Ba1 0.3333 0.6667 0.6762
Ba2 0.0000 0.0000 0.0000
Ba3 0.6667 0.3333 0.3238
O1 0.8300 0.6601 0.6703
O2 0.5000 0.0000 0.0000
O3 0.8300 0.1700 0.6703
O4 0.6601 0.8300 0.3297
O5 0.3399 0.1700 0.6703
O6 0.1700 0.3399 0.3297
O7 0.5000 0.5000 0.0000
O8 0.1700 0.8300 0.3297
O9 0.0000 0.5000 0.0000
Sc1 0.0000 0.0000 0.5000
Pd1 0.6667 0.3333 0.8295
Pd2 0.3333 0.6667 0.1705

(10)
First-principles (PBE) data for a relaxed Ba2ScPdO4 crystal, as listed in Alexandria.

- energy relative to the elements, uncorrected (eV per formula unit) = -17.4
- electronic total energy (eV/atom) = -6.58
- space group = I-4

Lattice parameters (Å, degrees): 5.7369 5.7369 5.7369 105.03 111.74 111.74
Site moments in Bohr magnetons follow the coordinates.
Atoms (fractional coordinates):
Ba1 0.5000 0.7500 0.2500  -0.01
Ba2 0.0000 0.0000 0.0000  0.01
O1 0.1514 0.2698 0.7317  0.06
O2 0.8486 0.5803 0.1184  0.06
O3 0.5381 0.2683 0.4197  0.06
O4 0.4619 0.8816 0.7302  0.06
Sc1 0.5000 0.2500 0.7500  0.04
Pd1 0.0000 0.5000 0.5000  0.66

(11)
First-principles (PBE) data for a relaxed Ba2ScPd2O6 crystal, as listed in Alexandria.

- energy relative to the elements, uncorrected (eV per formula unit) = -18.8
- electronic total energy (eV/atom) = -6.29
- space group = R-3m

Lattice parameters (Å, degrees): 6.1068 6.1068 6.7110 62.94 62.94 60.00
Atoms (fractional coordinates):
O1 0.2312 0.2312 0.7491
O2 0.7885 0.2312 0.7491
O3 0.7688 0.7688 0.2509
O4 0.2115 0.7688 0.2509
O5 0.7688 0.2115 0.2509
O6 0.2312 0.7885 0.7491
Ba1 0.2172 0.2172 0.3483
Ba2 0.7828 0.7828 0.6517
Pd1 0.4124 0.4124 0.7628
Pd2 0.5876 0.5876 0.2372
Sc1 0.0000 0.0000 0.0000

(12)
First-principles (PBE) data for a relaxed BaPdSe2O6 crystal, as listed in Alexandria.

- energy relative to the elements, uncorrected (eV per formula unit) = -9.9
- electronic total energy (eV/atom) = -5.37
- space group = R-3

Lattice parameters (Å, degrees): 5.7454 5.7454 6.7086 64.65 64.65 60.00
Site moments in Bohr magnetons follow the coordinates.
Atoms (fractional coordinates):
Se1 0.7261 0.7261 0.8217  0.05
Se2 0.2739 0.2739 0.1783  0.05
Ba1 0.0000 0.0000 0.0000  0.01
Pd1 0.5000 0.5000 0.5000  1.29
O1 0.2790 0.9371 0.2844  0.08
O2 0.7210 0.0629 0.7156  0.08
O3 0.0629 0.5005 0.7156  0.08
O4 0.4995 0.2790 0.2844  0.08
O5 0.5005 0.7210 0.7156  0.08
O6 0.9371 0.4995 0.2844  0.08

Q: Number 9 is which compound?
A: Ba3ScPd2O9

Q: Which value of electronic total energy does entry 12 give?
A: -5.37 eV/atom